VASP calculation (PBE) on a relaxed TbTiAl2 crystal.

```
data_TbTiAl2
_space_group_name_H-M_alt 'P 4/m m m'
_space_group_IT_number 123
_space_group_name_Hall '-P 4 2'
_cell_length_a 4.3432
_cell_length_b 4.3432
_cell_length_c 4.2548
_cell_angle_alpha 90.00
_cell_angle_beta 90.00
_cell_angle_gamma 90.00
loop_
_atom_site_label
_atom_site_fract_x
_atom_site_fract_y
_atom_site_fract_z
Tb1 0.0000 0.0000 0.0000
Ti1 0.5000 0.5000 0.0000
Al1 0.0000 0.5000 0.5000
```

Properties
Energy of formation   -90 kJ/mol of formula units
M_tot   1.30 Bohr magnetons per cell
Energy   -5.2357 eV/atom
Relative energy among the computed polymorphs   77 meV/atom
Volume   80 Å³ per cell